Entry from the Alexandria database: a geometry-optimized Zr4SnC2 structure (PBE-GGA).

a b c (Å): 6.038 6.038 12.200
angles (deg): 90.00 90.00 146.50
Atoms (fractional coordinates):
1 Zr 0.000 0.000 0.000
2 Zr 0.000 0.000 0.500
3 Zr 0.259 0.741 0.602
4 Zr 0.259 0.741 0.898
5 Zr 0.410 0.590 0.250
6 Zr 0.590 0.410 0.750
7 Zr 0.741 0.259 0.102
8 Zr 0.741 0.259 0.398
9 Sn 0.109 0.891 0.250
10 Sn 0.891 0.109 0.750
11 C 0.365 0.635 0.060
12 C 0.365 0.635 0.440
13 C 0.635 0.365 0.560
14 C 0.635 0.365 0.940

Results
**ΔH_f (0 K)**: -447 kJ/mol of formula units
**Magnetic moment**: 0.000 μB/atom

Entry from the Alexandria database: a geometry-optimized ZrSn3C structure (PBE-GGA).

a b c (Å): 5.581 5.581 5.581
angles (deg): 90.00 90.00 90.00
Atoms (fractional coordinates):
1 Zr 0.000 0.000 0.000
2 Sn 0.000 0.000 0.500
3 Sn 0.000 0.500 0.000
4 Sn 0.500 0.000 0.000
5 C 0.500 0.500 0.500

Results
**Offset from the most stable computed form**: 0.8767 eV per atom
**ΔH_f (0 K)**: 809 kJ/mol of formula units
**Magnetic moment**: 0.348 μB/atom

Entry from the Alexandria database: a geometry-optimized ZrSnC3 structure (PBE-GGA).

a b c (Å): 4.383 4.383 4.383
angles (deg): 90.00 90.00 90.00
Atoms (fractional coordinates):
1 Zr 0.000 0.000 0.000
2 Sn 0.500 0.500 0.500
3 C 0.000 0.000 0.500
4 C 0.000 0.500 0.000
5 C 0.500 0.000 0.000

Results
**Offset from the most stable computed form**: 0.0000 eV per atom
**ΔH_f (0 K)**: 928 kJ/mol of formula units
**Magnetic moment**: 0.000 μB/atom

Entry from the Alexandria database: a geometry-optimized Zr6Sn2C structure (PBE-GGA).

a b c (Å): 6.424 6.424 9.034
angles (deg): 90.00 90.00 90.00
Atoms (fractional coordinates):
1 Zr 0.000 0.000 0.246
2 Zr 0.000 0.000 0.754
3 Zr 0.243 0.251 0.000
4 Zr 0.249 0.257 0.500
5 Zr 0.251 0.757 0.000
6 Zr 0.257 0.751 0.500
7 Zr 0.500 0.500 0.254
8 Zr 0.500 0.500 0.746
9 Zr 0.743 0.249 0.500
10 Zr 0.749 0.243 0.000
11 Zr 0.751 0.743 0.500
12 Zr 0.757 0.749 0.000
13 Sn 0.000 0.500 0.250
14 Sn 0.000 0.500 0.750
15 Sn 0.500 0.000 0.250
16 Sn 0.500 0.000 0.750
17 C 0.000 0.000 0.500
18 C 0.500 0.500 0.000

Results
**Offset from the most stable computed form**: 0.0000 eV per atom
**ΔH_f (0 K)**: -410 kJ/mol of formula units
**Magnetic moment**: 0.000 μB/atom

Entry from the Alexandria database: a geometry-optimized Zr4SnC structure (PBE-GGA).

a b c (Å): 5.217 3.267 7.803
angles (deg): 90.00 108.79 90.00
Atoms (fractional coordinates):
1 Zr 0.076 0.000 0.224
2 Zr 0.307 0.500 0.594
3 Zr 0.693 0.500 0.406
4 Zr 0.924 0.000 0.776
5 Sn 0.500 0.500 0.000
6 C 0.000 0.000 0.500

Results
**Offset from the most stable computed form**: 0.0000 eV per atom
**ΔH_f (0 K)**: -200 kJ/mol of formula units
**Magnetic moment**: 0.000 μB/atom

Entry from the Alexandria database: a geometry-optimized Zr6SnC structure (PBE-GGA).

a b c (Å): 5.644 5.644 5.644
angles (deg): 100.64 100.64 100.64
Atoms (fractional coordinates):
1 Zr 0.091 0.762 0.671
2 Zr 0.238 0.329 0.909
3 Zr 0.329 0.909 0.238
4 Zr 0.671 0.091 0.762
5 Zr 0.762 0.671 0.091
6 Zr 0.909 0.238 0.329
7 Sn 0.500 0.500 0.500
8 C 0.000 0.000 0.000

Results
**ΔH_f (0 K)**: -272 kJ/mol of formula units
**Magnetic moment**: 0.000 μB/atom

> magnetic moment of number 2 (ZrSn3C)?

0.348 μB/atom

> What is the ΔH_f (0 K) in the third record?

928 kJ/mol of formula units